Arrangement w

First-principles (PBE-GGA) data for a geometry-optimized TlRe2P structure, as listed in Alexandria.

Properties
DOS(E_F) = 3.62 states/eV/f.u.
Total magnetization = 0.0000 μB/atom
Crystal system = monoclinic
V = 76.0 Å³/cell

a b c (Å): 4.442 4.442 6.119
angles (deg): 80.75 80.75 39.73
Atoms (fractional coordinates):
Tl (0.487, 0.487, 0.511)
Re (0.006, 0.006, 0.074)
Re (0.723, 0.723, 0.821)
P (0.284, 0.284, 0.094)

---

Arrangement x

First-principles (PBE-GGA) data for a geometry-optimized TlRe2P structure, as listed in Alexandria.

Properties
DOS(E_F) = 1.95 states/eV/f.u.
Total magnetization = 0.0000 μB/atom
Crystal system = monoclinic
V = 66.6 Å³/cell

a b c (Å): 3.724 3.021 6.059
angles (deg): 77.72 90.00 90.00
Atoms (fractional coordinates):
Tl (0.500, 0.500, 0.000)
Re (0.000, 0.158, 0.698)
Re (0.000, 0.842, 0.302)
P (0.500, 0.500, 0.500)

---

Arrangement y

First-principles (PBE-GGA) data for a geometry-optimized TlRe2P structure, as listed in Alexandria.

Properties
DOS(E_F) = 2.39 states/eV/f.u.
Total magnetization = 0.0000 μB/atom
Crystal system = monoclinic
V = 70.4 Å³/cell

a b c (Å): 3.944 3.944 6.692
angles (deg): 77.02 77.02 44.22
Atoms (fractional coordinates):
Tl (0.000, 0.000, 0.500)
Re (0.249, 0.249, 0.828)
Re (0.751, 0.751, 0.172)
P (0.500, 0.500, 0.000)

---

Stability summary - winner: arrangement y; margin: 0.008 eV/atom.

---

Arrangement w

First-principles (PBE-GGA) data for a geometry-optimized TlRe2P structure, as listed in Alexandria.

Properties
DOS(E_F) = 2.91 states/eV/f.u.
Total magnetization = 0.0000 μB/atom
Crystal system = tetragonal
V = 63.5 Å³/cell

a b c (Å): 4.458 4.458 3.195
angles (deg): 90.00 90.00 90.00
Atoms (fractional coordinates):
Tl (0.500, 0.500, 0.500)
Re (0.500, 0.000, 0.000)
Re (0.000, 0.500, 0.000)
P (0.000, 0.000, 0.500)

---

Arrangement x

First-principles (PBE-GGA) data for a geometry-optimized TlRe2P structure, as listed in Alexandria.

Properties
DOS(E_F) = 5.05 states/eV/f.u.
Total magnetization = 0.0001 μB/atom
Crystal system = orthorhombic
V = 67.3 Å³/cell

a b c (Å): 3.058 4.402 5.002
angles (deg): 90.00 90.00 90.00
Atoms (fractional coordinates):
Tl (0.500, 0.500, 0.000)
Re (0.000, 0.000, 0.000)
Re (0.500, 0.000, 0.500)
P (0.000, 0.500, 0.500)

---

Stability summary - winner: arrangement w; margin: 0.125 eV/atom.

---

Arrangement w

First-principles (PBE-GGA) data for a geometry-optimized TlRe2P structure, as listed in Alexandria.

Properties
DOS(E_F) = 3.57 states/eV/f.u.
Total magnetization = 0.0001 μB/atom
Crystal system = monoclinic
V = 67.2 Å³/cell

a b c (Å): 5.239 5.239 3.007
angles (deg): 74.49 74.49 112.00
Atoms (fractional coordinates):
Tl (0.000, 0.000, 0.500)
Re (0.000, 0.500, 0.000)
Re (0.500, 0.000, 0.000)
P (0.500, 0.500, 0.500)

---

Arrangement x

First-principles (PBE-GGA) data for a geometry-optimized TlRe2P structure, as listed in Alexandria.

Properties
DOS(E_F) = 3.04 states/eV/f.u.
Total magnetization = 0.0000 μB/atom
Crystal system = orthorhombic
V = 67.0 Å³/cell

a b c (Å): 2.971 2.971 8.599
angles (deg): 90.00 90.00 118.10
Atoms (fractional coordinates):
Tl (0.500, 0.500, 0.500)
Re (0.000, 0.000, 0.205)
Re (0.000, 0.000, 0.795)
P (0.500, 0.500, 0.000)

---

Stability summary - winner: arrangement x; margin: 0.434 eV/atom.

---

Arrangement w

First-principles (PBE-GGA) data for a geometry-optimized TlRe3P structure, as listed in Alexandria.

Properties
DOS(E_F) = 5.71 states/eV/f.u.
Total magnetization = 0.1518 μB/atom
Crystal system = cubic
V = 88.1 Å³/cell

a b c (Å): 4.450 4.450 4.450
angles (deg): 90.00 90.00 90.00
Atoms (fractional coordinates):
Re (0.000, 0.500, 0.000)
Re (0.000, 0.000, 0.500)
Re (0.500, 0.000, 0.000)
Tl (0.500, 0.500, 0.500)
P (0.000, 0.000, 0.000)

---

Arrangement x

First-principles (PBE-GGA) data for a geometry-optimized TlRe3P structure, as listed in Alexandria.

Properties
DOS(E_F) = 8.08 states/eV/f.u.
Total magnetization = 0.7440 μB/atom
Crystal system = cubic
V = 121.1 Å³/cell

a b c (Å): 4.948 4.948 4.948
angles (deg): 90.00 90.00 90.00
Atoms (fractional coordinates):
Re (0.000, 0.500, 0.000)
Re (0.000, 0.000, 0.500)
Re (0.500, 0.000, 0.000)
Tl (0.000, 0.000, 0.000)
P (0.500, 0.500, 0.500)

---

Stability summary - winner: arrangement w; margin: 2.611 eV/atom.